Entry 1:
# HfSbPb2 PBE optimized geometry
# Total DFT energy (no corrections) = -0.37560 Ry/atom
data_HfSbPb2
_chemical_formula_sum 'Hf4 Sb4 Pb8'
_space_group_name_H-M_alt 'F -4 3 m'
_space_group_IT_number 216
_space_group_name_Hall 'F -4 2 3'
_cell_length_a 7.537
_cell_length_b 7.537
_cell_length_c 7.537
_cell_angle_alpha 90.00
_cell_angle_beta 90.00
_cell_angle_gamma 90.00
loop_
_atom_site_label
_atom_site_type_symbol
_atom_site_fract_x
_atom_site_fract_y
_atom_site_fract_z
Hf1 Hf 0.000 0.000 0.000
Sb1 Sb 0.250 0.250 0.750
Pb1 Pb 0.000 0.000 0.500
Pb2 Pb 0.250 0.250 0.250

***

Entry 2:
# HfScPb2 PBE optimized geometry
# Total DFT energy (no corrections) = -0.41173 Ry/atom
data_HfScPb2
_chemical_formula_sum 'Hf4 Sc4 Pb8'
_space_group_name_H-M_alt 'F -4 3 m'
_space_group_IT_number 216
_space_group_name_Hall 'F -4 2 3'
_cell_length_a 7.451
_cell_length_b 7.451
_cell_length_c 7.451
_cell_angle_alpha 90.00
_cell_angle_beta 90.00
_cell_angle_gamma 90.00
loop_
_atom_site_label
_atom_site_type_symbol
_atom_site_fract_x
_atom_site_fract_y
_atom_site_fract_z
Hf1 Hf 0.000 0.000 0.000
Sc1 Sc 0.250 0.250 0.250
Pb1 Pb 0.000 0.000 0.500
Pb2 Pb 0.250 0.250 0.750

***

Entry 3:
# HfScPb PBE optimized geometry
# Energy above the lowest structure with this stoichiometry = 0.000 eV per atom
data_HfScPb
_chemical_formula_sum 'Hf4 Sc4 Pb4'
_space_group_name_H-M_alt 'F -4 3 m'
_space_group_IT_number 216
_space_group_name_Hall 'F -4 2 3'
_cell_length_a 6.987
_cell_length_b 6.987
_cell_length_c 6.987
_cell_angle_alpha 90.00
_cell_angle_beta 90.00
_cell_angle_gamma 90.00
loop_
_atom_site_label
_atom_site_type_symbol
_atom_site_fract_x
_atom_site_fract_y
_atom_site_fract_z
Hf1 Hf 0.000 0.000 0.000
Sc1 Sc 0.250 0.250 0.250
Pb1 Pb 0.250 0.250 0.750